[1]
Here is a relaxed Sm3HoTl crystal from the Alexandria database. Energies are from PBE.

Its energy relative to the elements is -62.4 meV per atom. The polymorph energy (0 for the lowest one) is 2 meV/atom.

The space group is Cm (No. 8) and the conventional cell measures 16.318, 5.559 and 3.618 Å, with angles of 90.00, 102.72 and 90.00 degrees. The distinct sites, in fractional coordinates, are Sm at (0.000, 0.000, 0.000), Sm at (0.081, 0.500, 0.581), Sm at (0.196, 0.000, 0.695), Ho at (0.292, 0.500, 0.291) and Tl at (0.393, 0.000, 0.895).



[2]
Here is a relaxed Sm6Ho3Tl crystal from the Alexandria database. Energies are from PBE.

Its energy relative to the elements is 27.6 meV per atom. The polymorph energy (0 for the lowest one) is 8 meV/atom.

The space group is Cmc2_1 (No. 36) and the conventional cell measures 9.799, 20.456 and 6.394 Å, with angles of 90.00, 90.00 and 90.00 degrees. The distinct sites, in fractional coordinates, are Sm at (0.000, 0.018, 0.000), Sm at (0.000, 0.286, 0.971), Sm at (0.182, 0.445, 0.745), Sm at (0.185, 0.283, 0.529), Ho at (0.000, 0.412, 0.272), Ho at (0.170, 0.127, 0.671) and Tl at (0.000, 0.154, 0.244).



[3]
Here is a relaxed Sm2HoTl3 crystal from the Alexandria database. Energies are from PBE.

Its energy relative to the elements is -232.9 meV per atom. The polymorph energy (0 for the lowest one) is 133 meV/atom.

The space group is Cmcm (No. 63) and the conventional cell measures 3.719, 28.983 and 6.736 Å, with angles of 90.00, 90.00 and 90.00 degrees. The distinct sites, in fractional coordinates, are Sm at (0.000, 0.005, 0.250), Sm at (0.000, 0.153, 0.750), Ho at (0.000, 0.332, 0.750), Tl at (0.000, 0.255, 0.250) and Tl at (0.000, 0.423, 0.009).



[4]
Here is a relaxed SmHo5Tl4 crystal from the Alexandria database. Energies are from PBE.

Its energy relative to the elements is -264.6 meV per atom.

The space group is P4/mmm (No. 123) and the conventional cell measures 3.603, 3.603 and 21.750 Å, with angles of 90.00, 90.00 and 90.00 degrees. The distinct sites, in fractional coordinates, are Sm at (0.000, 0.000, 0.000), Ho at (0.500, 0.500, 0.116), Ho at (0.500, 0.500, 0.307), Ho at (0.500, 0.500, 0.500), Tl at (0.000, 0.000, 0.212) and Tl at (0.000, 0.000, 0.404).



[5]
Here is a relaxed Sm7Ho3Tl2 crystal from the Alexandria database. Energies are from PBE.

Its energy relative to the elements is -8.8 meV per atom.

The space group is P2/m (No. 10) and the conventional cell measures 5.668, 3.645 and 18.658 Å, with angles of 90.00, 94.05 and 90.00 degrees. The distinct sites, in fractional coordinates, are Sm at (0.000, 0.000, 0.000), Sm at (0.164, 0.500, 0.174), Sm at (0.258, 0.500, 0.538), Sm at (0.338, 0.000, 0.851), Ho at (0.218, 0.000, 0.365), Ho at (0.500, 0.500, 0.000) and Tl at (0.302, 0.500, 0.705).



[6]
Here is a relaxed Sm2Ho3Tl7 crystal from the Alexandria database. Energies are from PBE.

Its energy relative to the elements is -90.5 meV per atom.

The space group is Cmmm (No. 65) and the conventional cell measures 5.292, 25.796 and 5.400 Å, with angles of 90.00, 90.00 and 90.00 degrees. The distinct sites, in fractional coordinates, are Sm at (0.000, 0.151, 0.000), Ho at (0.000, 0.350, 0.500), Ho at (0.000, 0.500, 0.500), Tl at (0.000, 0.000, 0.000), Tl at (0.000, 0.079, 0.500), Tl at (0.000, 0.280, 0.000) and Tl at (0.000, 0.426, 0.000).



[7]
Here is a relaxed SmHoTm2Tl2 crystal from the Alexandria database. Energies are from PBE.

Its energy relative to the elements is -260.3 meV per atom.

The space group is Pmc2_1 (No. 26) and the conventional cell measures 5.089, 9.948 and 6.786 Å, with angles of 90.00, 90.00 and 90.00 degrees. The distinct sites, in fractional coordinates, are Sm at (0.000, 0.041, 0.000), Ho at (0.500, 0.192, 0.720), Tm at (0.000, 0.317, 0.376), Tm at (0.500, 0.457, 0.091), Tl at (0.000, 0.368, 0.837) and Tl at (0.500, 0.139, 0.258).



[8]
Here is a relaxed SmHo2TmTl4 crystal from the Alexandria database. Energies are from PBE.

Its energy relative to the elements is -329.1 meV per atom.

The space group is R-3m (No. 166, hexagonal axes) and the conventional cell measures 5.3662, 5.3662 and 26.3948 Å, with angles of 90.00, 90.00 and 120.00 degrees. The distinct sites, in fractional coordinates, are Sm at (0.0000, 0.0000, 0.0000), Ho at (0.0000, 0.0000, 0.2492), Tm at (0.0000, 0.0000, 0.5000), Tl at (0.0000, 0.0000, 0.1263) and Tl at (0.0000, 0.0000, 0.3764).